VASP calculation (PBE) on an optimized crystal structure of MoRu2Au.

Calculated values
Electronic total energy = -0.2922 hartree per atom
Space group = No. 12
Total moment = 0.0000 μB/atom

a b c (Å): 4.7985 4.7985 4.8895
angles (deg): 79.64 79.64 33.94
With the nearest neighbours (Å) after each atom.
Fractional coordinates of all 4 atoms:
Au (0.7500, 0.7500, 0.7500)  6 Ru 2.78-2.88, 2 Au 2.80, 4 Mo 2.82
Mo (0.2500, 0.2500, 0.2500)  6 Ru 2.66-2.82, 2 Mo 2.80, 4 Au 2.82
Ru (0.5110, 0.5110, 0.4742)  4 Ru 2.64-2.80, 3 Mo 2.66-2.82, 3 Au 2.78-2.88
Ru (0.9890, 0.9890, 0.0258)  4 Ru 2.64-2.80, 3 Mo 2.66-2.82, 3 Au 2.78-2.88